A relaxed GePtO2 crystal. Source: Alexandria via LeMat-Bulk, functional PBE-GGA.

Properties
E_tot, eV/cell: -47.89
Symmetry: No. 1
Raw formation energy, eV per atom: -0.843
Total magnetic moment, μB/atom: 0.000
Calculated density, kg/m³: 8141

Unit cell a=5.1680 b=5.2797 c=5.5280 alpha=61.62 beta=72.16 gamma=69.12
Fractional coordinates of all 8 atoms:
Ge: 0.8081 0.9543 0.5157
Ge: 0.8770 0.3092 0.8587
Pt: 0.2023 0.1485 0.1462
Pt: 0.3331 0.6171 0.1803
O: 0.6010 0.6590 0.8171
O: 0.5430 0.1526 0.2799
O: 0.0452 0.5847 0.5282
O: 0.7375 0.1282 0.7460